# 1
4
Lattice="0.0000 3.9046 3.9046 3.9046 0.0000 3.9046 3.9046 3.9046 0.0000" Properties=species:S:1:pos:R:3 comment="PBE Er2TmPu, relaxed" vol_a3_per_cell=119.1 polymorph_energy_mev_per_atom=98 dos_ef_per_ev_cell=10.057 pbc="T T T"
Er 1.9523 1.9523 1.9523
Er 5.8569 5.8569 5.8569
Tm 0.0000 0.0000 0.0000
Pu 3.9046 3.9046 3.9046

# 2
13
Lattice="6.6704 0.0000 0.0000 1.1170 8.5531 0.0000 1.1264 4.1768 9.2065" Properties=species:S:1:pos:R:3 comment="PBE Ac8Tb2Pm3, relaxed" vol_a3_per_cell=525.3 final_energy_ev_per_atom=-4.289 dos_ef_per_ev_cell=22.952 pbc="T T T"
Ac 1.0916 3.7831 1.8263
Ac 2.2686 5.3330 8.1094
Ac 2.2652 2.7715 5.2904
Ac 4.4986 10.2791 8.8677
Ac 4.4152 2.4508 0.3387
Ac 6.6486 9.9584 3.9160
Ac 6.6452 7.3969 1.0971
Ac 7.8222 8.9468 7.3802
Tb 3.2957 8.6314 2.5599
Tb 5.6181 4.0985 6.6466
Pm 1.1217 6.3649 4.6032
Pm 4.4557 7.5872 5.9445
Pm 4.4581 5.1427 3.2620

Number 1 is which compound?
Er2TmPu